1.
First-principles (PBEsol) data for Co2Mo after structural relaxation, as listed in Alexandria.

Unit cell a=4.6117 b=4.6117 c=15.0444 alpha=90.00 beta=90.00 gamma=120.00
Space group P6_3/mmc (No. 194)
Unique sites:
Co  0.0000  0.5000  0.0000 x6
Co  0.1636  0.3273  0.2500 x6
Co  0.3333  0.6667  0.1264 x4
Mo  0.0000  0.0000  0.0902 x4
Mo  0.3333  0.6667  0.6562 x4

Computed properties:
Calculated density, g/cm3: 10.25
Electronic total energy, eV per atom: -9.092


2.
First-principles (PBEsol) data for Ba2LiAu2 after structural relaxation, as listed in Alexandria.

Unit cell a=8.339 b=8.339 c=4.459 alpha=90.00 beta=90.00 gamma=90.00
Space group P4/mbm (No. 127)
Unique sites:
Ba  0.172  0.328  0.000 x4
Li  0.000  0.000  0.500 x2
Au  0.125  0.625  0.500 x4

Computed properties:
Calculated density, g/cm3: 7.23
Electronic total energy, eV per atom: -3.333


3.
First-principles (PBEsol) data for Ta2MnCu after structural relaxation, as listed in Alexandria.

Unit cell a=3.150 b=3.150 c=5.819 alpha=90.00 beta=90.00 gamma=90.00
Space group P4mm (No. 99)
Unique sites:
Ta  0.000  0.000  0.000 x1
Ta  0.500  0.500  0.301 x1
Mn  0.500  0.500  0.769 x1
Cu  0.000  0.000  0.542 x1

Computed properties:
Calculated density, g/cm3: 13.81
Electronic total energy, eV per atom: -9.700


4.
First-principles (PBEsol) data for Mn3Al10 after structural relaxation, as listed in Alexandria.

Unit cell a=7.4526 b=7.4526 c=7.7178 alpha=90.00 beta=90.00 gamma=120.00
Space group P6_3/mmc (No. 194)
Unique sites:
Mn  0.1206  0.2411  0.2500 x6
Al  0.0000  0.0000  0.0000 x2
Al  0.0863  0.5432  0.2500 x6
Al  0.1999  0.3998  0.5646 x12

Computed properties:
Calculated density, g/cm3: 3.89
Electronic total energy, eV per atom: -5.625


5.
First-principles (PBEsol) data for MgScC2S after structural relaxation, as listed in Alexandria.

Unit cell a=4.153 b=4.153 c=4.905 alpha=90.00 beta=90.00 gamma=90.00
Space group P4/mmm (No. 123)
Unique sites:
Mg  0.000  0.000  0.000 x1
Sc  0.500  0.500  0.500 x1
C  0.000  0.500  0.500 x2
S  0.500  0.500  0.000 x1

Computed properties:
Calculated density, g/cm3: 2.46
Electronic total energy, eV per atom: -5.249
E_form (uncorrected), eV per atom: 1.149


6.
First-principles (PBEsol) data for Th7S12 after structural relaxation, as listed in Alexandria.

Unit cell a=11.0192 b=11.0192 c=3.9419 alpha=90.00 beta=90.00 gamma=120.00
Space group P-6 (No. 174)
Unique sites:
Th  0.0000  0.0000  0.0000 x1
Th  0.1478  0.4314  0.0000 x3
Th  0.4406  0.2883  0.5000 x3
S  0.0038  0.2122  0.5000 x3
S  0.1425  0.6193  0.5000 x3
S  0.2525  0.2492  0.0000 x3
S  0.5132  0.1412  0.0000 x3

Computed properties:
Calculated density, g/cm3: 8.05
Electronic total energy, eV per atom: -7.820
E_form (uncorrected), eV per atom: -2.064


7.
First-principles (PBEsol) data for MgZn3 after structural relaxation, as listed in Alexandria.

Unit cell a=5.227 b=8.529 c=5.666 alpha=90.00 beta=90.00 gamma=90.00
Space group Pnma (No. 62)
Unique sites:
Mg  0.052  0.250  0.089 x4
Zn  0.077  0.250  0.596 x4
Zn  0.203  0.508  0.336 x8

Computed properties:
Calculated density, g/cm3: 5.80
Electronic total energy, eV per atom: -1.627


8.
First-principles (PBEsol) data for ReAuSe2 after structural relaxation, as listed in Alexandria.

Unit cell a=2.931 b=2.931 c=8.678 alpha=90.00 beta=90.00 gamma=90.00
Space group P4mm (No. 99)
Unique sites:
Re  0.000  0.000  0.000 x1
Au  0.500  0.500  0.776 x1
Se  0.000  0.000  0.533 x1
Se  0.500  0.500  0.170 x1

Computed properties:
Excess energy over the best structure of this formula in the dataset, kJ/mol of formula units: 0.0
Calculated density, g/cm3: 12.05
Electronic total energy, eV per atom: -5.967
E_form (uncorrected), eV per atom: 0.272


9.
First-principles (PBEsol) data for ZnCuNi2 after structural relaxation, as listed in Alexandria.

Unit cell a=8.258 b=2.528 c=4.330 alpha=90.00 beta=100.61 gamma=90.00
Space group C2/m (No. 12)
Unique sites:
Zn  0.000  0.000  0.000 x2
Cu  0.000  0.500  0.500 x2
Ni  0.250  0.000  0.748 x4

Computed properties:
Calculated density, g/cm3: 9.21
Electronic total energy, eV per atom: -4.657


10.
First-principles (PBEsol) data for BeSb2As after structural relaxation, as listed in Alexandria.

Unit cell a=6.861 b=6.861 c=6.861 alpha=90.00 beta=90.00 gamma=90.00
Space group Fm-3m (No. 225)
Unique sites:
Be  0.000  0.000  0.000 x4
Sb  0.250  0.250  0.250 x8
As  0.000  0.000  0.500 x4

Computed properties:
Excess energy over the best structure of this formula in the dataset, kJ/mol of formula units: 152.0
Calculated density, g/cm3: 6.74
Electronic total energy, eV per atom: -4.022
E_form (uncorrected), eV per atom: 0.533


11.
First-principles (PBEsol) data for CaScMn after structural relaxation, as listed in Alexandria.

Unit cell a=3.320 b=3.320 c=12.639 alpha=90.00 beta=90.00 gamma=90.00
Space group I4mm (No. 107)
Unique sites:
Ca  0.000  0.000  0.000 x2
Sc  0.000  0.000  0.278 x2
Mn  0.000  0.000  0.663 x2

Computed properties:
Calculated density, g/cm3: 3.34
Electronic total energy, eV per atom: -5.830


12.
First-principles (PBEsol) data for LiDySn after structural relaxation, as listed in Alexandria.

Unit cell a=9.2539 b=9.2539 c=7.2000 alpha=90.00 beta=90.00 gamma=120.00
Space group P6_3mc (No. 186)
Unique sites:
Li  0.1668  0.3335  0.0000 x6
Li  0.3333  0.6667  0.6032 x2
Dy  0.0000  0.0000  0.2868 x2
Dy  0.0213  0.5106  0.2906 x6
Sn  0.1667  0.3334  0.5544 x6
Sn  0.3333  0.6667  0.0243 x2

Computed properties:
Calculated density, g/cm3: 7.17
Electronic total energy, eV per atom: -4.414


Record-wise magnetic moment values, in μB/atom: 0.246; 0.000; 0.255; 0.155; 0.000; 0.001; 0.000; 0.000; 0.001; 0.000; 0.916; 0.000